1.
The following is a PBE calculation of a relaxed Be3TlZn crystal, from Alexandria.

Cell lengths 4.595, 4.595, 4.595 Å; angles 90.00, 90.00, 90.00 degrees
Element x y z (fractional)
Be  0.000  0.500  0.000
Be  0.000  0.000  0.500
Be  0.500  0.000  0.000
Zn  0.500  0.500  0.500
Tl  0.000  0.000  0.000

## Properties
M_tot	0.00	Bohr magnetons per cell
formation energy from the elements	1221	meV per atom
polymorph energy (0 for the lowest one)	0.4609	eV per atom
final energy	-8.71	eV per cell

---

2.
The following is a PBE calculation of a relaxed TiGaOs crystal, from Alexandria.

Cell lengths 2.832, 4.327, 4.327 Å; angles 120.00, 90.00, 90.00 degrees
Element x y z (fractional)
Os  0.075  0.000  0.000
Ga  0.215  0.667  0.333
Ti  0.709  0.333  0.667

## Properties
M_tot	0.00	Bohr magnetons per cell
formation energy from the elements	-310	meV per atom
final energy	-23.08	eV per cell

---

3.
The following is a PBE calculation of a relaxed PmMgCd crystal, from Alexandria.

Cell lengths 3.495, 3.495, 6.859 Å; angles 104.76, 104.76, 90.00 degrees
Element x y z (fractional)
Cd  0.605  0.605  0.209
Mg  0.967  0.967  0.935
Pm  0.278  0.278  0.556

## Properties
M_tot	0.00	Bohr magnetons per cell
formation energy from the elements	-178	meV per atom
polymorph energy (0 for the lowest one)	0.0857	eV per atom
final energy	-7.79	eV per cell

---

4.
The following is a PBE calculation of a relaxed GdPaHg2 crystal, from Alexandria.

Cell lengths 5.298, 5.298, 5.298 Å; angles 60.00, 60.00, 60.00 degrees
Element x y z (fractional)
Hg  0.750  0.750  0.750
Hg  0.250  0.250  0.250
Pa  0.500  0.500  0.500
Gd  0.000  0.000  0.000

## Properties
M_tot	9.62	Bohr magnetons per cell
formation energy from the elements	-81	meV per atom
polymorph energy (0 for the lowest one)	0.0821	eV per atom
final energy	-24.50	eV per cell

---

5.
The following is a PBE calculation of a relaxed Sm2GaNi3Pt12 crystal, from Alexandria.

Cell lengths 7.891, 7.891, 7.891 Å; angles 60.98, 60.98, 60.98 degrees
Element x y z (fractional)
Pt  0.371  0.880  0.371
Pt  0.880  0.371  0.371
Pt  0.129  0.621  0.129
Pt  0.621  0.129  0.129
Pt  0.379  0.871  0.871
Pt  0.629  0.120  0.629
Pt  0.629  0.629  0.120
Pt  0.871  0.871  0.379
Pt  0.871  0.379  0.871
Pt  0.120  0.629  0.629
Pt  0.371  0.371  0.880
Pt  0.129  0.129  0.621
Sm  0.618  0.618  0.618
Sm  0.382  0.382  0.382
Ni  0.500  0.000  0.000
Ni  0.000  0.000  0.500
Ni  0.000  0.500  0.000
Ga  0.000  0.000  0.000

## Properties
M_tot	3.56	Bohr magnetons per cell
formation energy from the elements	-85	meV per atom
final energy	-103.84	eV per cell

---

6.
The following is a PBE calculation of a relaxed GaNi2RuN crystal, from Alexandria.

Cell lengths 3.790, 3.790, 4.033 Å; angles 90.00, 90.00, 90.00 degrees
Element x y z (fractional)
Ga  0.500  0.500  0.500
Ru  0.000  0.000  0.500
Ni  0.500  0.000  0.000
Ni  0.000  0.500  0.000
N  0.000  0.000  0.000

## Properties
M_tot	0.00	Bohr magnetons per cell
formation energy (no corrections)	-0.05	eV/atom
final energy	-32.43	eV per cell

---

7.
The following is a PBE calculation of a relaxed BeAgS2N crystal, from Alexandria.

Cell lengths 4.825, 3.102, 4.825 Å; angles 90.00, 90.00, 90.00 degrees
Element x y z (fractional)
N  0.000  0.000  0.000
S  0.000  0.000  0.500
S  0.500  0.000  0.000
Be  0.000  0.500  0.000
Ag  0.500  0.500  0.500

## Properties
M_tot	0.00	Bohr magnetons per cell
formation energy (no corrections)	0.45	eV/atom
polymorph energy (0 for the lowest one)	0.0000	eV per atom
final energy	-20.92	eV per cell

---

8.
The following is a PBE calculation of a relaxed LiLa3Tb3Se8 crystal, from Alexandria.

Cell lengths 8.311, 8.311, 8.389 Å; angles 119.70, 90.00, 120.00 degrees
Element x y z (fractional)
La  0.000  0.000  0.000
La  0.000  0.500  0.000
La  0.500  0.500  0.000
Se  0.755  0.010  0.265
Se  0.245  0.489  0.735
Se  0.255  0.511  0.266
Se  0.745  0.990  0.735
Se  0.255  0.010  0.265
Se  0.755  0.511  0.265
Se  0.745  0.489  0.734
Se  0.245  0.990  0.735
Li  0.000  0.000  0.500
Tb  0.500  0.000  0.500
Tb  0.000  0.500  0.500
Tb  0.500  0.500  0.500

## Properties
M_tot	0.00	Bohr magnetons per cell
formation energy (no corrections)	-1.87	eV/atom
final energy	-86.44	eV per cell

---

9.
The following is a PBE calculation of a relaxed RbSr2Te2 crystal, from Alexandria.

Cell lengths 5.624, 5.624, 8.874 Å; angles 71.52, 71.52, 90.00 degrees
Element x y z (fractional)
Sr  0.250  0.750  0.500
Sr  0.750  0.250  0.500
Rb  0.000  0.000  0.000
Te  0.643  0.643  0.714
Te  0.357  0.357  0.286

## Properties
M_tot	0.00	Bohr magnetons per cell
formation energy (no corrections)	-1.10	eV/atom
polymorph energy (0 for the lowest one)	0.0673	eV per atom
final energy	-16.10	eV per cell

---

10.
The following is a PBE calculation of a relaxed Pd3WBr crystal, from Alexandria.

Cell lengths 4.887, 4.887, 4.887 Å; angles 90.00, 90.00, 90.00 degrees
Element x y z (fractional)
Pd  0.000  0.000  0.500
Pd  0.500  0.000  0.000
Pd  0.000  0.500  0.000
W  0.000  0.000  0.000
Br  0.500  0.500  0.500

## Properties
M_tot	0.00	Bohr magnetons per cell
formation energy (no corrections)	1.11	eV/atom
polymorph energy (0 for the lowest one)	0.0000	eV per atom
final energy	-24.67	eV per cell

---

11.
The following is a PBE calculation of a relaxed Tb2Cd5Au crystal, from Alexandria.

Cell lengths 4.732, 4.732, 11.096 Å; angles 77.69, 77.69, 60.00 degrees
Element x y z (fractional)
Au  0.000  0.000  0.000
Cd  0.500  0.500  0.500
Cd  0.636  0.636  0.093
Cd  0.197  0.197  0.410
Cd  0.364  0.364  0.907
Cd  0.803  0.803  0.590
Tb  0.091  0.091  0.728
Tb  0.909  0.909  0.272

## Properties
M_tot	0.00	Bohr magnetons per cell
formation energy from the elements	-173	meV per atom
final energy	-18.50	eV per cell

---

12.
The following is a PBE calculation of a relaxed Tb4HoTmSc2 crystal, from Alexandria.

Cell lengths 5.653, 5.653, 9.352 Å; angles 52.84, 90.00, 90.00 degrees
Element x y z (fractional)
Tb  0.500  0.252  0.748
Tb  0.500  0.748  0.252
Tb  0.000  0.752  0.748
Tb  0.000  0.248  0.252
Sc  0.500  0.000  0.500
Sc  0.000  0.000  0.000
Ho  0.500  0.500  0.000
Tm  0.000  0.500  0.500

## Properties
M_tot	0.00	Bohr magnetons per cell
formation energy from the elements	116	meV per atom
final energy	-39.30	eV per cell